Density functional theory data (PBE) for crystalline TaCr2ReH at its relaxed geometry.

a = 3.776 Å, b = 3.776 Å, c = 4.200 Å
α = 90.00°, β = 90.00°, γ = 90.00°
Space group P4/mmm (No. 123)
One atom of each set of equivalent atoms:
Ta1 0.000 0.000 0.000 x1
Cr1 0.000 0.500 0.500 x2
Re1 0.500 0.500 0.000 x1
H1 0.000 0.000 0.500 x1

## Properties
- DFT total energy: -9.229 eV/atom
- Total magnetic moment: 1.8 Bohr magnetons per cell
- Excess energy over the best structure of this formula in the dataset: 0 meV per atom
- N(E_F): 0.94 states/eV/atom